{"formula": "PmTmSc3", "functional": "GGA-PBE", "state": "relaxed", "final_energy_ev_per_atom": -5.51, "n_ef_per_ev_atom": 1.85, "formation_energy_mev_per_atom": 133, "e_above_lowest_polymorph_ev_per_atom": 0.1039, "sg": "C2/m", "total_magnetization_mub_per_fu": 0.00, "mass_density_g_cm3": 5.3, "lattice_angstrom": [[6.623, 0.000, 0.000], [0.000, 8.367, 1.030], [-3.312, -2.261, 4.820]], "species": ["Pm", "Pm", "Tm", "Tm", "Sc", "Sc", "Sc", "Sc", "Sc", "Sc"], "frac_coords": [[0.438, 0.771, 0.877], [0.562, 0.229, 0.123], [0.785, 0.997, 0.570], [0.215, 0.003, 0.430], [0.901, 0.615, 0.307], [0.067, 0.277, 0.134], [0.406, 0.615, 0.307], [0.594, 0.385, 0.693], [0.099, 0.385, 0.693], [0.933, 0.723, 0.866]]}

***

{"formula": "Pm6Tm2Sc", "functional": "GGA-PBE", "state": "relaxed", "final_energy_ev_per_atom": -4.82, "n_ef_per_ev_atom": 1.47, "formation_energy_mev_per_atom": 44, "e_above_lowest_polymorph_ev_per_atom": 0.0000, "sg": "P-1", "total_magnetization_mub_per_fu": 0.00, "mass_density_g_cm3": 7.1, "lattice_angstrom": [[3.526, -0.095, 0.668], [2.026, 8.725, 0.233], [0.017, -0.962, 9.426]], "species": ["Pm", "Pm", "Pm", "Pm", "Pm", "Pm", "Tm", "Tm", "Sc"], "frac_coords": [[0.461, 0.173, 0.908], [0.539, 0.827, 0.092], [0.792, 0.175, 0.244], [0.125, 0.179, 0.573], [0.208, 0.825, 0.756], [0.875, 0.821, 0.427], [0.835, 0.500, 0.830], [0.165, 0.500, 0.170], [0.500, 0.500, 0.500]]}

***

{"formula": "PmTm15Sc4", "functional": "GGA-PBE", "state": "relaxed", "final_energy_ev_per_atom": -4.81, "n_ef_per_ev_atom": 1.56, "formation_energy_mev_per_atom": 43, "sg": "P4/mmm", "total_magnetization_mub_per_fu": 0.00, "mass_density_g_cm3": 8.2, "lattice_angstrom": [[4.879, 0.000, 0.000], [0.000, 4.879, 0.000], [0.000, 0.000, 24.414]], "species": ["Pm", "Tm", "Tm", "Tm", "Tm", "Tm", "Tm", "Tm", "Tm", "Tm", "Tm", "Tm", "Tm", "Tm", "Tm", "Tm", "Sc", "Sc", "Sc", "Sc"], "frac_coords": [[0.000, 0.000, 0.000], [0.500, 0.500, 0.000], [0.500, 0.500, 0.204], [0.500, 0.500, 0.401], [0.500, 0.500, 0.599], [0.500, 0.500, 0.796], [0.500, 0.000, 0.104], [0.500, 0.000, 0.302], [0.500, 0.000, 0.500], [0.500, 0.000, 0.698], [0.500, 0.000, 0.896], [0.000, 0.500, 0.104], [0.000, 0.500, 0.302], [0.000, 0.500, 0.500], [0.000, 0.500, 0.698], [0.000, 0.500, 0.896], [0.000, 0.000, 0.203], [0.000, 0.000, 0.401], [0.000, 0.000, 0.599], [0.000, 0.000, 0.797]]}

***

{"formula": "PmTm7Sc3", "functional": "GGA-PBE", "state": "relaxed", "final_energy_ev_per_atom": -4.86, "n_ef_per_ev_atom": 1.70, "formation_energy_mev_per_atom": 148, "e_above_lowest_polymorph_ev_per_atom": 0.0000, "sg": "P2/m", "total_magnetization_mub_per_fu": 0.00, "mass_density_g_cm3": 7.4, "lattice_angstrom": [[1.215, 7.430, -3.908], [6.678, -5.330, -4.248], [-3.643, -3.762, -1.009]], "species": ["Pm", "Tm", "Tm", "Tm", "Tm", "Tm", "Tm", "Tm", "Sc", "Sc", "Sc"], "frac_coords": [[0.500, 0.500, 0.500], [0.964, 0.830, 0.964], [0.820, 0.630, 0.320], [0.660, 0.278, 0.160], [0.340, 0.722, 0.840], [0.500, 0.000, 0.500], [0.180, 0.370, 0.680], [0.036, 0.170, 0.036], [0.228, 0.024, 0.729], [0.000, 0.500, 0.000], [0.772, 0.976, 0.271]]}